(1)
VASP calculation (PBE) on a relaxed CePuTh2 crystal.

abc: 3.4976 3.4976 9.5136
angles: 90.00 90.00 90.00
Closest atoms and distances in Å follow each position.
Space group P4/mmm (No. 123)
Inequivalent atoms, fractional coordinates:
Ce  0.0000  0.0000  0.0000 x1  8 Th 3.46, 4 Ce 3.50
Pu  0.0000  0.0000  0.5000 x1  8 Th 3.40, 4 Pu 3.50
Th  0.5000  0.5000  0.2548 x2  4 Pu 3.40, 4 Ce 3.46, 4 Th 3.50

Summary:
As for the density of states at the Fermi level: 2.8322 states/eV/atom. The value obtained for the relative energy among the computed polymorphs is 28 meV per atom. Its energy of formation from the pure elements is 0.0902 eV per atom.

---

(2)
VASP calculation (PBE) on a relaxed Ce2PuTh crystal.

abc: 7.6712 7.6712 7.6712
angles: 90.00 90.00 90.00
Closest atoms and distances in Å follow each position.
Space group Fm-3m (No. 225)
Inequivalent atoms, fractional coordinates:
Ce  0.2500  0.2500  0.2500 x8  4 Th 3.32, 4 Pu 3.32
Pu  0.0000  0.0000  0.0000 x4  8 Ce 3.32
Th  0.0000  0.0000  0.5000 x4  8 Ce 3.32

Summary:
As for the density of states at the Fermi level: 2.3920 states/eV/atom. The value obtained for the relative energy among the computed polymorphs is 145 meV per atom. Its energy of formation from the pure elements is 0.1968 eV per atom.

---

(3)
VASP calculation (PBE) on a relaxed CePuTh crystal.

abc: 6.3754 6.7289 8.5902
angles: 90.00 114.14 90.00
Closest atoms and distances in Å follow each position.
Space group P2_1/c (No. 14)
Inequivalent atoms, fractional coordinates:
Ce  0.2065  0.1515  0.0350 x4  3 Pu 2.77-2.84
Pu  0.3834  0.0715  0.7961 x4  3 Ce 2.77-2.84
Th  0.2224  0.6237  0.8894 x4  5 Pu 3.38-3.54, 6 Ce 3.41-3.78, 1 Th 3.66

Summary:
As for the density of states at the Fermi level: 2.2098 states/eV/atom. The value obtained for the relative energy among the computed polymorphs is 66 meV per atom. Its energy of formation from the pure elements is 0.1650 eV per atom.

---

(4)
VASP calculation (PBE) on a relaxed Ce6PuTh2 crystal.

abc: 12.3797 7.1130 6.2127
angles: 90.00 110.65 90.00
Closest atoms and distances in Å follow each position.
Space group C2/m (No. 12)
Inequivalent atoms, fractional coordinates:
Ce  0.1219  0.0000  0.2557 x4  1 Pu 2.49
Ce  0.1260  0.2512  0.7477 x8  1 Pu 2.51
Pu  0.0000  0.0000  0.5000 x2  6 Ce 2.49-2.51
Th  0.1216  0.5000  0.2353 x4  1 Th 3.38, 11 Ce 3.53-3.63

Summary:
As for the density of states at the Fermi level: 2.2041 states/eV/atom. Its energy of formation from the pure elements is -0.0095 eV per atom.

---

(5)
VASP calculation (PBE) on a relaxed CeTmPuTh crystal.

abc: 7.8264 7.8264 7.8264
angles: 90.00 90.00 90.00
Closest atoms and distances in Å follow each position.
Space group F-43m (No. 216)
Inequivalent atoms, fractional coordinates:
Ce  0.0000  0.0000  0.0000 x4  4 Tm 3.39, 4 Th 3.39
Tm  0.2500  0.2500  0.7500 x4  4 Ce 3.39, 4 Pu 3.39
Pu  0.0000  0.0000  0.5000 x4  4 Th 3.39, 4 Tm 3.39
Th  0.2500  0.2500  0.2500 x4  4 Ce 3.39, 4 Pu 3.39

Summary:
As for the density of states at the Fermi level: 3.1614 states/eV/atom. Its energy of formation from the pure elements is 0.2471 eV per atom.

---

(6)
VASP calculation (PBE) on a relaxed CeYPuTh crystal.

abc: 7.8807 7.8807 7.8807
angles: 90.00 90.00 90.00
Closest atoms and distances in Å follow each position.
Space group F-43m (No. 216)
Inequivalent atoms, fractional coordinates:
Ce  0.0000  0.0000  0.0000 x4  4 Th 3.41, 4 Y 3.41
Y  0.2500  0.2500  0.7500 x4  4 Ce 3.41, 4 Pu 3.41
Pu  0.0000  0.0000  0.5000 x4  4 Y 3.41, 4 Th 3.41
Th  0.2500  0.2500  0.2500 x4  4 Pu 3.41, 4 Ce 3.41

Summary:
As for the density of states at the Fermi level: 3.2467 states/eV/atom. Its energy of formation from the pure elements is 0.2586 eV per atom.

---

(7)
VASP calculation (PBE) on a relaxed CePuThZn crystal.

abc: 7.2988 7.2988 7.2988
angles: 90.00 90.00 90.00
Closest atoms and distances in Å follow each position.
Space group F-43m (No. 216)
Inequivalent atoms, fractional coordinates:
Ce  0.0000  0.0000  0.0000 x4  4 Pu 3.16, 4 Th 3.16
Pu  0.2500  0.2500  0.2500 x4  4 Ce 3.16, 4 Zn 3.16
Th  0.2500  0.2500  0.7500 x4  4 Ce 3.16, 4 Zn 3.16
Zn  0.0000  0.0000  0.5000 x4  4 Th 3.16, 4 Pu 3.16

Summary:
As for the density of states at the Fermi level: 2.7280 states/eV/atom. Its energy of formation from the pure elements is 0.0881 eV per atom.

---

(8)
VASP calculation (PBE) on a relaxed CePuThZr crystal.

abc: 7.5457 7.5457 7.5457
angles: 90.00 90.00 90.00
Closest atoms and distances in Å follow each position.
Space group F-43m (No. 216)
Inequivalent atoms, fractional coordinates:
Ce  0.0000  0.0000  0.0000 x4  4 Th 3.27, 4 Pu 3.27
Pu  0.2500  0.2500  0.7500 x4  4 Zr 3.27, 4 Ce 3.27
Th  0.2500  0.2500  0.2500 x4  4 Zr 3.27, 4 Ce 3.27
Zr  0.0000  0.0000  0.5000 x4  4 Th 3.27, 4 Pu 3.27

Summary:
As for the density of states at the Fermi level: 3.2372 states/eV/atom. Its energy of formation from the pure elements is 0.1810 eV per atom.

---

(9)
VASP calculation (PBE) on a relaxed CePuTi2 crystal.

abc: 4.2566 4.2566 4.6499
angles: 90.00 90.00 90.00
Closest atoms and distances in Å follow each position.
Space group P4/mmm (No. 123)
Inequivalent atoms, fractional coordinates:
Ce  0.0000  0.0000  0.0000 x1  4 Pu 3.01, 8 Ti 3.15
Pu  0.5000  0.5000  0.0000 x1  4 Ce 3.01, 8 Ti 3.15
Ti  0.0000  0.5000  0.5000 x2  4 Ti 3.01, 4 Pu 3.15, 4 Ce 3.15

Summary:
As for the density of states at the Fermi level: 1.8374 states/eV/atom. The value obtained for the relative energy among the computed polymorphs is 0 meV per atom. Its energy of formation from the pure elements is 0.1588 eV per atom.

---

(10)
VASP calculation (PBE) on a relaxed CePuTi crystal.

abc: 3.1791 3.1791 7.6951
angles: 90.00 90.00 120.00
Closest atoms and distances in Å follow each position.
Space group P3m1 (No. 156)
Inequivalent atoms, fractional coordinates:
Ce  0.0000  0.0000  0.0000 x1  3 Ti 3.17, 6 Ce 3.18, 3 Pu 3.26
Pu  0.3333  0.6667  0.6506 x1  3 Ti 3.04, 6 Pu 3.18, 3 Ce 3.26
Ti  0.6667  0.3333  0.3361 x1  3 Pu 3.04, 3 Ce 3.17, 6 Ti 3.18

Summary:
As for the density of states at the Fermi level: 2.8999 states/eV/atom. Its energy of formation from the pure elements is 0.2131 eV per atom.

---

(11)
VASP calculation (PBE) on a relaxed CePuTi2 crystal.

abc: 3.0309 3.0309 31.4965
angles: 90.00 90.00 120.00
Closest atoms and distances in Å follow each position.
Space group R-3m (No. 166, hexagonal axes)
Inequivalent atoms, fractional coordinates:
Ce  0.0000  0.0000  0.0000 x3  2 Ti 2.84, 6 Ce 3.03
Pu  0.0000  0.0000  0.5000 x3  6 Ti 2.98, 6 Pu 3.03
Ti  0.0000  0.0000  0.0901 x6  1 Ce 2.84, 3 Pu 2.98, 6 Ti 3.03

Summary:
As for the density of states at the Fermi level: 2.2837 states/eV/atom. The value obtained for the relative energy among the computed polymorphs is 123 meV per atom. Its energy of formation from the pure elements is 0.2822 eV per atom.

---

(12)
VASP calculation (PBE) on a relaxed CePuTi2 crystal.

abc: 7.0191 7.0191 7.0191
angles: 90.00 90.00 90.00
Closest atoms and distances in Å follow each position.
Space group Fm-3m (No. 225)
Inequivalent atoms, fractional coordinates:
Ce  0.0000  0.0000  0.0000 x4  8 Ti 3.04
Pu  0.0000  0.0000  0.5000 x4  8 Ti 3.04
Ti  0.2500  0.2500  0.2500 x8  4 Ce 3.04, 4 Pu 3.04

Summary:
As for the density of states at the Fermi level: 2.4817 states/eV/atom. The value obtained for the relative energy among the computed polymorphs is 97 meV per atom. Its energy of formation from the pure elements is 0.2555 eV per atom.